! CaNiB2 | the Alexandria database | PBE | relaxed; values from VASP
! Offset from the most stable computed form, eV/atom: 0.0000
! E_form, meV/atom: 13
! Total DFT energy (no corrections), eV per atom: -5.2717
! Crystal system: tetragonal
! ρ, Mg/m³: 3.68
! Space-group type: I4_1/amd (141)
&SYSTEM
  ibrav = 0, nat = 8, ntyp = 3
/
ATOMIC_SPECIES
Ni 58.69 Ni.upf
Ca 40.08 Ca.upf
B 10.81 B.upf
CELL_PARAMETERS angstrom
4.026 0.000 0.000
0.000 4.026 0.000
2.013 2.013 6.706
ATOMIC_POSITIONS angstrom
Ni 0.000 0.000 0.000
Ni 4.026 2.013 3.353
Ca 2.013 2.013 0.000
Ca 2.013 4.026 3.353
B 4.026 1.007 1.677
B 4.026 3.020 1.677
B 3.020 2.013 5.030
B 5.033 2.013 5.030

! CaNi3B | the Alexandria database | PBE | relaxed; values from VASP
! Offset from the most stable computed form, eV/atom: 2.5290
! E_form, meV/atom: 2315
! Total DFT energy (no corrections), eV per atom: -2.8899
! Crystal system: cubic
! ρ, Mg/m³: 4.21
! Space-group type: Pm-3m (221)
&SYSTEM
  ibrav = 0, nat = 5, ntyp = 3
/
ATOMIC_SPECIES
Ni 58.69 Ni.upf
Ca 40.08 Ca.upf
B 10.81 B.upf
CELL_PARAMETERS angstrom
4.475 0.000 0.000
0.000 4.475 0.000
0.000 0.000 4.475
ATOMIC_POSITIONS angstrom
Ni 0.000 2.238 0.000
Ni 0.000 0.000 2.238
Ni 2.238 0.000 0.000
Ca 0.000 0.000 0.000
B 2.238 2.238 2.238

! CaNi6B | the Alexandria database | PBE | relaxed; values from VASP
! E_form, meV/atom: 10
! Total DFT energy (no corrections), eV per atom: -5.4114
! Crystal system: tetragonal
! ρ, Mg/m³: 6.60
! Space-group type: P4/mmm (123)
&SYSTEM
  ibrav = 0, nat = 8, ntyp = 3
/
ATOMIC_SPECIES
Ca 40.08 Ca.upf
Ni 58.69 Ni.upf
B 10.81 B.upf
CELL_PARAMETERS angstrom
-2.543 -2.532 0.058
2.454 -2.483 -0.835
1.379 -1.210 7.651
ATOMIC_POSITIONS angstrom
Ca 0.000 0.000 0.000
Ni -0.377 -2.051 4.991
Ni 2.121 -2.026 4.545
Ni 0.161 -2.688 0.753
Ni 1.129 -3.537 6.121
Ni 1.711 -1.667 2.271
Ni -0.787 -1.691 2.717
B 0.690 -0.605 3.825

! CaNi3B | the Alexandria database | PBE | relaxed; values from VASP
! Offset from the most stable computed form, eV/atom: 0.0000
! E_form, meV/atom: -214
! Total DFT energy (no corrections), eV per atom: -5.4189
! Crystal system: cubic
! ρ, Mg/m³: 5.85
! Space-group type: Pm-3m (221)
&SYSTEM
  ibrav = 0, nat = 5, ntyp = 3
/
ATOMIC_SPECIES
Ni 58.69 Ni.upf
Ca 40.08 Ca.upf
B 10.81 B.upf
CELL_PARAMETERS angstrom
4.008 0.000 0.000
0.000 4.008 0.000
0.000 0.000 4.008
ATOMIC_POSITIONS angstrom
Ni 0.000 2.004 0.000
Ni 0.000 0.000 2.004
Ni 2.004 0.000 0.000
Ca 2.004 2.004 2.004
B 0.000 0.000 0.000